Record 1
TbTmInRu: optimized geometry, GGA-PBE.

Cell: 3.4339 3.4339 7.8284 Å, 90.00 90.00 90.00°
Last column: nearest neighbours and their distance in Å.
Fractional coordinates of all 4 atoms:
1 Tb 0.0000 0.0000 0.0000  4 Ru 2.97, 1 Tm 3.29
2 Tm 0.0000 0.0000 0.5793  4 Ru 2.90
3 In 0.5000 0.5000 0.2948  4 Tm 3.30, 4 Tb 3.35, 4 In 3.43
4 Ru 0.5000 0.5000 0.7825  4 Tm 2.90, 4 Tb 2.97

Summary:
Distance to the lowest polymorph of the same formula   0 meV per atom
E_form   -1.92 eV/f.u.
Raw total energy   -5.76 eV/atom

***

Record 2
TbTmInRu: optimized geometry, GGA-PBE.

Cell: 5.0384 5.0384 5.0384 Å, 60.00 60.00 60.00°
Last column: nearest neighbours and their distance in Å.
Fractional coordinates of all 4 atoms:
1 Tb 0.0000 0.0000 0.0000  4 Ru 3.09, 4 In 3.09
2 Tm 0.5000 0.5000 0.5000  4 In 3.09, 4 Ru 3.09
3 In 0.2500 0.2500 0.2500  4 Tb 3.09, 4 Tm 3.09
4 Ru 0.7500 0.7500 0.7500  4 Tb 3.09, 4 Tm 3.09

Summary:
Distance to the lowest polymorph of the same formula   135 meV per atom
E_form   -1.38 eV/f.u.
Raw total energy   -5.62 eV/atom

***

Record 3
Tb2U2InRu5: optimized geometry, GGA-PBE.

Cell: 10.7727 10.7727 3.4124 Å, 90.00 90.00 90.00°
Last column: nearest neighbours and their distance in Å.
Fractional coordinates of all 20 atoms:
1 Tb 0.1676 0.3324 0.0000  1 U 2.86, 6 Ru 3.07-3.13
2 Tb 0.3324 0.8324 0.0000  1 U 2.86, 6 Ru 3.07-3.13
3 Tb 0.6676 0.1676 0.0000  1 U 2.86, 6 Ru 3.07-3.13
4 Tb 0.8324 0.6676 0.0000  1 U 2.86, 6 Ru 3.07-3.13
5 U 0.1444 0.6444 0.0000  6 Ru 2.52-2.78
6 U 0.3556 0.1444 0.0000  6 Ru 2.52-2.78
7 U 0.6444 0.8556 0.0000  6 Ru 2.52-2.78
8 U 0.8556 0.3556 0.0000  6 Ru 2.52-2.78
9 In 0.0000 0.0000 0.0000  8 Ru 2.91
10 In 0.5000 0.5000 0.0000  8 Ru 2.91
11 Ru 0.0000 0.5000 0.5000  4 U 2.78, 4 Tb 3.07, 4 Ru 3.12
12 Ru 0.0458 0.7855 0.5000  2 U 2.52
13 Ru 0.2145 0.0458 0.5000  2 U 2.52
14 Ru 0.2855 0.5458 0.5000  2 U 2.52
15 Ru 0.4542 0.2855 0.5000  2 U 2.52
16 Ru 0.5000 0.0000 0.5000  4 U 2.78, 4 Tb 3.07, 4 Ru 3.12
17 Ru 0.5458 0.7145 0.5000  2 U 2.52
18 Ru 0.7145 0.4542 0.5000  2 U 2.52
19 Ru 0.7855 0.9542 0.5000  2 U 2.52
20 Ru 0.9542 0.2145 0.5000  2 U 2.52

Summary:
E_form   -1.64 eV/f.u.
Raw total energy   -8.26 eV/atom

***

Record 4
TbYInRu: optimized geometry, GGA-PBE.

Cell: 5.0778 5.0778 5.0778 Å, 60.00 60.00 60.00°
Last column: nearest neighbours and their distance in Å.
Fractional coordinates of all 4 atoms:
1 Tb 0.0000 0.0000 0.0000  4 In 3.11, 4 Ru 3.11
2 Y 0.5000 0.5000 0.5000  4 In 3.11, 4 Ru 3.11
3 In 0.7500 0.7500 0.7500  4 Tb 3.11, 4 Y 3.11
4 Ru 0.2500 0.2500 0.2500  4 Tb 3.11, 4 Y 3.11

Summary:
Distance to the lowest polymorph of the same formula   115 meV per atom
E_form   -1.33 eV/f.u.
Raw total energy   -6.11 eV/atom

***

Question: raw total energy of number 3 (Tb2U2InRu5)?
Answer: -8.26 eV/atom